An optimized crystal structure of Pu2MgBe4Si3. Source: Alexandria via LeMat-Bulk, functional GGA-PBE.

The structure in POSCAR format:
```
Pu2MgBe4Si3
1.0
3.930 0.000 0.000
0.000 3.930 0.000
0.000 0.000 9.782
Pu Mg Be Si
2 1 4 3
Direct
0.000 0.500 0.234 Pu
0.500 0.000 0.766 Pu
0.000 0.000 0.500 Mg
0.000 0.000 0.000 Be
0.000 0.500 0.646 Be
0.500 0.000 0.354 Be
0.500 0.500 0.000 Be
0.000 0.500 0.873 Si
0.500 0.000 0.127 Si
0.500 0.500 0.500 Si
```

Calculated values
As for the crystal system: tetragonal. For the raw formation energy, the calculation gives -0.213 eV per atom.

=====

An optimized crystal structure of Pm3Rh2Pb4. Source: Alexandria via LeMat-Bulk, functional GGA-PBE.

The structure in POSCAR format:
```
Pm3Rh2Pb4
1.0
5.767 -2.437 0.000
5.767 2.437 0.000
-3.811 0.000 8.384
Pm Rh Pb
3 2 4
Direct
0.000 0.000 0.000 Pm
0.314 0.314 0.381 Pm
0.686 0.686 0.619 Pm
0.407 0.407 0.717 Rh
0.593 0.593 0.283 Rh
0.010 0.010 0.343 Pb
0.292 0.292 0.929 Pb
0.708 0.708 0.071 Pb
0.990 0.990 0.657 Pb
```

Calculated values
For the formation enthalpy at 0 K, the calculation gives -0.454 eV/atom. As for the crystal system: monoclinic.

=====

An optimized crystal structure of Zn2As2Pd7. Source: Alexandria via LeMat-Bulk, functional GGA-PBE.

The structure in POSCAR format:
```
Zn2As2Pd7
1.0
2.967 -4.675 0.000
2.967 4.675 0.000
-1.606 0.000 6.606
Zn As Pd
2 2 7
Direct
0.177 0.823 0.000 Zn
0.823 0.177 0.000 Zn
0.369 0.369 0.810 As
0.631 0.631 0.190 As
0.040 0.561 0.310 Pd
0.059 0.059 0.300 Pd
0.439 0.960 0.690 Pd
0.500 0.500 0.500 Pd
0.561 0.040 0.310 Pd
0.941 0.941 0.700 Pd
0.960 0.439 0.690 Pd
```

Calculated values
For the formation enthalpy at 0 K, the calculation gives -0.252 eV/atom. As for the crystal system: monoclinic.

=====

An optimized crystal structure of Hf2ReSe. Source: Alexandria via LeMat-Bulk, functional GGA-PBE.

The structure in POSCAR format:
```
Hf2ReSe
1.0
-2.964 2.964 6.219
2.964 -2.964 6.219
2.964 2.964 -6.219
Hf Re Se
4 2 2
Direct
0.102 0.625 0.977 Hf
0.375 0.352 0.477 Hf
0.648 0.125 0.023 Hf
0.875 0.898 0.523 Hf
0.000 0.000 0.000 Re
0.750 0.250 0.500 Re
0.250 0.750 0.500 Se
0.500 0.500 0.000 Se
```

Calculated values
As for the crystal system: tetragonal. For the raw formation energy, the calculation gives 0.473 eV per atom.

=====

An optimized crystal structure of Ba2CoIrW. Source: Alexandria via LeMat-Bulk, functional GGA-PBE.

The structure in POSCAR format:
```
Ba2CoIrW
1.0
6.091 0.000 0.000
0.000 6.091 0.000
0.000 0.000 4.715
Ba Co Ir W
2 1 1 1
Direct
0.000 0.500 0.000 Ba
0.500 0.000 0.000 Ba
0.000 0.000 0.500 Co
0.500 0.500 0.500 Ir
0.500 0.500 0.000 W
```

Calculated values
For the formation enthalpy at 0 K, the calculation gives 1.323 eV/atom. As for the crystal system: tetragonal.

=====

An optimized crystal structure of La2Pm3HoAs6. Source: Alexandria via LeMat-Bulk, functional GGA-PBE.

The structure in POSCAR format:
```
La2Pm3HoAs6
1.0
9.291 -2.133 0.000
9.291 2.133 0.000
-1.966 0.000 8.300
La Pm Ho As
2 3 1 6
Direct
0.165 0.165 0.331 La
0.835 0.835 0.669 La
0.167 0.167 0.834 Pm
0.500 0.500 0.500 Pm
0.833 0.833 0.166 Pm
0.500 0.500 0.000 Ho
0.002 0.002 0.757 As
0.335 0.335 0.413 As
0.336 0.336 0.923 As
0.664 0.664 0.077 As
0.665 0.665 0.587 As
0.998 0.998 0.243 As
```

Calculated values
For the formation enthalpy at 0 K, the calculation gives -1.530 eV/atom. As for the crystal system: monoclinic.

=====

An optimized crystal structure of AlIrRu. Source: Alexandria via LeMat-Bulk, functional GGA-PBE.

The structure in POSCAR format:
```
AlIrRu
1.0
0.000 2.356 6.435
1.423 0.000 6.435
1.423 2.356 0.000
Al Ir Ru
1 1 1
Direct
0.000 0.000 0.000 Al
0.339 0.339 0.661 Ir
0.659 0.659 0.341 Ru
```

Calculated values
For the formation enthalpy at 0 K, the calculation gives -0.121 eV/atom. The value obtained for the polymorph energy (0 for the lowest one) is 263 meV/atom. As for the crystal system: orthorhombic.

=====

An optimized crystal structure of Ge2HRu2. Source: Alexandria via LeMat-Bulk, functional GGA-PBE.

The structure in POSCAR format:
```
Ge2HRu2
1.0
6.791 0.000 0.000
0.000 6.791 0.000
0.000 0.000 3.160
Ge H Ru
4 2 4
Direct
0.146 0.354 0.000 Ge
0.354 0.854 0.000 Ge
0.646 0.146 0.000 Ge
0.854 0.646 0.000 Ge
0.000 0.000 0.500 H
0.500 0.500 0.500 H
0.154 0.654 0.500 Ru
0.346 0.154 0.500 Ru
0.654 0.846 0.500 Ru
0.846 0.346 0.500 Ru
```

Calculated values
The value obtained for the polymorph energy (0 for the lowest one) is 0 meV/atom. As for the crystal system: tetragonal.

=====

An optimized crystal structure of Yb3Sc. Source: Alexandria via LeMat-Bulk, functional GGA-PBE.

The structure in POSCAR format:
```
Yb3Sc
1.0
7.108 0.000 0.000
-3.554 6.156 0.000
0.000 0.000 5.798
Yb Sc
6 2
Direct
0.170 0.341 0.250 Yb
0.170 0.830 0.250 Yb
0.341 0.170 0.750 Yb
0.659 0.830 0.250 Yb
0.830 0.170 0.750 Yb
0.830 0.659 0.750 Yb
0.333 0.667 0.750 Sc
0.667 0.333 0.250 Sc
```

Calculated values
For the formation enthalpy at 0 K, the calculation gives 0.000 eV/atom. As for the crystal system: hexagonal.

=====

An optimized crystal structure of V3Mo2Pd. Source: Alexandria via LeMat-Bulk, functional GGA-PBE.

The structure in POSCAR format:
```
V3Mo2Pd
1.0
3.098 0.000 0.000
0.000 3.098 0.000
0.000 0.000 9.145
V Mo Pd
3 2 1
Direct
0.000 0.000 0.000 V
0.000 0.000 0.322 V
0.000 0.000 0.678 V
0.500 0.500 0.170 Mo
0.500 0.500 0.830 Mo
0.500 0.500 0.500 Pd
```

Calculated values
For the formation enthalpy at 0 K, the calculation gives -0.115 eV/atom. As for the crystal system: tetragonal.

=====

An optimized crystal structure of MnCdPt2. Source: Alexandria via LeMat-Bulk, functional GGA-PBE.

The structure in POSCAR format:
```
MnCdPt2
1.0
3.439 0.000 0.000
0.000 3.439 0.000
0.000 0.000 5.679
Mn Cd Pt
1 1 2
Direct
0.000 0.000 0.000 Mn
0.500 0.500 0.709 Cd
0.000 0.000 0.471 Pt
0.500 0.500 0.196 Pt
```

Calculated values
For the formation enthalpy at 0 K, the calculation gives -0.154 eV/atom. As for the crystal system: tetragonal.

=====

An optimized crystal structure of Na2LaHPb. Source: Alexandria via LeMat-Bulk, functional GGA-PBE.

The structure in POSCAR format:
```
Na2LaHPb
1.0
4.778 0.000 0.000
0.000 4.778 0.000
0.000 0.000 5.279
Na La H Pb
2 1 1 1
Direct
0.000 0.500 0.000 Na
0.500 0.000 0.000 Na
0.000 0.000 0.500 La
0.000 0.000 0.000 H
0.500 0.500 0.500 Pb
```

Calculated values
As for the crystal system: tetragonal. As for the total energy: -0.2394 Ry per atom.

=====

An optimized crystal structure of CeAuO. Source: Alexandria via LeMat-Bulk, functional GGA-PBE.

The structure in POSCAR format:
```
CeAuO
1.0
3.900 0.000 0.000
-1.950 3.377 0.000
0.000 0.000 4.760
Ce Au O
1 1 1
Direct
0.000 0.000 0.000 Ce
0.333 0.667 0.500 Au
0.667 0.333 0.000 O
```

Calculated values
The value obtained for the polymorph energy (0 for the lowest one) is 283 meV/atom. As for the crystal system: hexagonal. For the raw formation energy, the calculation gives -1.881 eV per atom.

=====

Number 1: total moment 10.97 μB/cell, volume 151.1 Å³/cell. Number 2: total moment 0.00 μB/cell, volume 235.6 Å³/cell. Number 3: total moment 0.00 μB/cell, volume 183.3 Å³/cell. Number 4: total moment 0.00 μB/cell, volume 218.6 Å³/cell. Number 5: total moment 2.49 μB/cell, volume 174.9 Å³/cell. Number 6: total moment 0.00 μB/cell, volume 329.0 Å³/cell. Number 7: total moment 0.00 μB/cell, volume 43.2 Å³/cell. Number 8: total moment 0.00 μB/cell, volume 145.7 Å³/cell. Number 9: total moment 0.00 μB/cell, volume 253.7 Å³/cell. Number 10: total moment 0.26 μB/cell, volume 87.8 Å³/cell. Number 11: total moment 4.35 μB/cell, volume 67.2 Å³/cell. Number 12: total moment 0.00 μB/cell, volume 120.5 Å³/cell. Number 13: total moment 0.92 μB/cell, volume 62.7 Å³/cell.